Run P
MgSc2O4 | PBE | relaxed

Unit cell a=6.2365 b=6.2365 c=6.2389 alpha=59.99 beta=59.99 gamma=89.97
Fractional positions:
Mg (0.8749, 0.6251, 0.7500)
Mg (0.1251, 0.3749, 0.2500)
Sc (0.5000, 0.5000, 0.5000)
Sc (0.5000, 0.0000, 0.5000)
Sc (0.0000, 0.0000, 0.0000)
Sc (0.5000, 0.0000, 0.0000)
O (0.2591, 0.7766, 0.9821)
O (0.7409, 0.2234, 0.0179)
O (0.2766, 0.7591, 0.4821)
O (0.2588, 0.2412, 0.5179)
O (0.2588, 0.2412, 0.9821)
O (0.7412, 0.7588, 0.4821)
O (0.7234, 0.2409, 0.5179)
O (0.7412, 0.7588, 0.0179)

For the calculated volume, the calculation gives 86 Å³/f.u.



Run Q
MgSc2O4 | PBE | relaxed

Unit cell a=3.0840 b=9.2757 c=10.9642 alpha=90.00 beta=90.00 gamma=90.00
Fractional positions:
Mg (0.7500, 0.2260, 0.6454)
Mg (0.7500, 0.7260, 0.8546)
Mg (0.2500, 0.7740, 0.3546)
Mg (0.2500, 0.2740, 0.1454)
Sc (0.7500, 0.5831, 0.1094)
Sc (0.7500, 0.0831, 0.3906)
Sc (0.2500, 0.4169, 0.8906)
Sc (0.2500, 0.9169, 0.6094)
Sc (0.7500, 0.5705, 0.6156)
Sc (0.7500, 0.0705, 0.8844)
Sc (0.2500, 0.4295, 0.3844)
Sc (0.2500, 0.9295, 0.1156)
O (0.7500, 0.7870, 0.1873)
O (0.7500, 0.2870, 0.3127)
O (0.2500, 0.2130, 0.8127)
O (0.2500, 0.7130, 0.6873)
O (0.7500, 0.8651, 0.4753)
O (0.7500, 0.3651, 0.0247)
O (0.2500, 0.1349, 0.5247)
O (0.2500, 0.6349, 0.9753)
O (0.7500, 0.4987, 0.7933)
O (0.7500, 0.9987, 0.7067)
O (0.2500, 0.5013, 0.2067)
O (0.2500, 0.0013, 0.2933)
O (0.7500, 0.5831, 0.4188)
O (0.7500, 0.0831, 0.0812)
O (0.2500, 0.4169, 0.5812)
O (0.2500, 0.9169, 0.9188)

For the calculated volume, the calculation gives 78 Å³/f.u.



Energies in kJ/mol of atoms, measured from the most stable structure: run P 0.0; run Q 12.3.



Run P
MgSc2TiO | PBE | relaxed

Unit cell a=5.5766 b=3.7083 c=5.5766 alpha=90.00 beta=90.00 gamma=90.00
Fractional positions:
Sc (0.0000, 0.0000, 0.5000)
Sc (0.5000, 0.0000, 0.0000)
Mg (0.5000, 0.5000, 0.5000)
O (0.0000, 0.5000, 0.0000)
Ti (0.0000, 0.0000, 0.0000)

For the calculated volume, the calculation gives 115 Å³/f.u.



Run Q
MgSc2TiO | PBE | relaxed

Unit cell a=4.4813 b=4.4813 c=4.2217 alpha=90.00 beta=90.00 gamma=90.00
Fractional positions:
Sc (0.0000, 0.5000, 0.0000)
Sc (0.5000, 0.0000, 0.0000)
Mg (0.5000, 0.5000, 0.5000)
O (0.0000, 0.0000, 0.0000)
Ti (0.0000, 0.0000, 0.5000)

For the calculated volume, the calculation gives 85 Å³/f.u.



Energies in kJ/mol of atoms, measured from the most stable structure: run P 87.0; run Q 0.0.



Run P
MgSe3O | PBE | relaxed

Unit cell a=4.9474 b=4.9474 c=4.9474 alpha=90.00 beta=90.00 gamma=90.00
Fractional positions:
Mg (0.0000, 0.0000, 0.0000)
O (0.5000, 0.5000, 0.5000)
Se (0.0000, 0.5000, 0.0000)
Se (0.0000, 0.0000, 0.5000)
Se (0.5000, 0.0000, 0.0000)

For the calculated volume, the calculation gives 121 Å³/f.u.



Run Q
MgSe3O | PBE | relaxed

Unit cell a=4.5326 b=4.5326 c=4.5326 alpha=90.00 beta=90.00 gamma=90.00
Fractional positions:
Mg (0.5000, 0.5000, 0.5000)
O (0.0000, 0.0000, 0.0000)
Se (0.0000, 0.5000, 0.0000)
Se (0.0000, 0.0000, 0.5000)
Se (0.5000, 0.0000, 0.0000)

For the calculated volume, the calculation gives 93 Å³/f.u.



Energies in kJ/mol of atoms, measured from the most stable structure: run P 76.1; run Q 0.0.